A relaxed structure of NiAgC2, computed with PBE-GGA.

Cell: 3.869 3.869 3.869 Å, 60.00 60.00 60.00°
Positions (direct):
Ni1 0.000 0.000 0.000
Ag1 0.500 0.500 0.500
C1 0.250 0.250 0.250
C2 0.750 0.750 0.750

Output
The total energy is -4.68 eV per atom. For the density of states at the Fermi level, the calculation gives 0.748 states/eV per atom. For the formation energy from the elements, the calculation gives 2.088 eV per atom. Its space-group type is Fm-3m (225). For the polymorph energy (0 for the lowest one), the calculation gives 559 meV per atom.


A relaxed structure of CdFe4Au, computed with PBE-GGA.

Cell: 4.954 4.954 4.954 Å, 60.00 60.00 60.00°
Positions (direct):
Cd1 0.000 0.000 0.000
Fe1 0.124 0.625 0.625
Fe2 0.625 0.124 0.625
Fe3 0.625 0.625 0.124
Fe4 0.625 0.625 0.625
Au1 0.250 0.250 0.250

Output
The total energy is -6.15 eV per atom. For the density of states at the Fermi level, the calculation gives 0.942 states/eV per atom. For the formation energy from the elements, the calculation gives 0.188 eV per atom. Its space-group type is F-43m (216).


A relaxed structure of LaMo2Ir2, computed with PBE-GGA.

Cell: 5.965 5.965 5.965 Å, 135.73 135.73 64.40°
Positions (direct):
La1 0.000 0.000 0.000
Mo1 0.250 0.750 0.500
Mo2 0.750 0.250 0.500
Ir1 0.367 0.367 0.000
Ir2 0.633 0.633 0.000

Output
The total energy is -9.05 eV per atom. For the density of states at the Fermi level, the calculation gives 1.203 states/eV per atom. For the formation energy from the elements, the calculation gives -0.185 eV per atom. Its space-group type is I4/mmm (139). For the polymorph energy (0 for the lowest one), the calculation gives 0 meV per atom.


A relaxed structure of Tc2PbSe, computed with PBE-GGA.

Cell: 8.417 8.417 8.417 Å, 21.59 21.59 21.59°
Positions (direct):
Tc1 0.240 0.240 0.240
Tc2 0.760 0.760 0.760
Pb1 0.000 0.000 0.000
Se1 0.500 0.500 0.500

Output
The calculation puts the formation energy (no corrections) at 192 kJ/mol of formula units. The total energy is -6.48 eV per atom. For the density of states at the Fermi level, the calculation gives 1.070 states/eV per atom. Its space-group type is R-3m (166). For the polymorph energy (0 for the lowest one), the calculation gives 345 meV per atom.


A relaxed structure of KTbSm2, computed with PBE-GGA.

Cell: 13.516 13.516 13.516 Å, 15.45 15.45 15.45°
Positions (direct):
K1 0.000 0.000 0.000
Tb1 0.500 0.500 0.500
Sm1 0.096 0.096 0.096
Sm2 0.904 0.904 0.904

Output
The total energy is -3.58 eV per atom. For the density of states at the Fermi level, the calculation gives 1.105 states/eV per atom. For the formation energy from the elements, the calculation gives 0.208 eV per atom. Its space-group type is R-3m (166).


A relaxed structure of Tb4AuS3, computed with PBE-GGA.

Cell: 6.990 6.990 3.930 Å, 90.00 90.00 108.86°
Positions (direct):
Tb1 0.241 0.241 0.500
Tb2 0.245 0.755 0.000
Tb3 0.755 0.245 0.000
Tb4 0.759 0.759 0.500
Au1 0.500 0.500 0.000
S1 0.000 0.000 0.000
S2 0.000 0.500 0.500
S3 0.500 0.000 0.500

Output
The calculation puts the formation energy (no corrections) at -1295 kJ/mol of formula units. The total energy is -5.95 eV per atom. For the density of states at the Fermi level, the calculation gives 0.643 states/eV per atom. Its space-group type is Cmmm (65).


A relaxed structure of CaSi2Ni, computed with PBE-GGA.

Cell: 5.811 5.811 5.811 Å, 39.18 39.18 39.18°
Positions (direct):
Ca1 0.000 0.000 0.000
Si1 0.208 0.208 0.208
Si2 0.792 0.792 0.792
Ni1 0.500 0.500 0.500

Output
The calculation puts the formation energy (no corrections) at -219 kJ/mol of formula units. The total energy is -5.23 eV per atom. For the density of states at the Fermi level, the calculation gives 0.438 states/eV per atom. Its space-group type is R-3m (166).


A relaxed structure of ScSiMo2, computed with PBE-GGA.

Cell: 2.842 2.842 8.447 Å, 90.00 90.00 106.37°
Positions (direct):
Sc1 0.000 0.000 0.000
Si1 0.000 0.000 0.500
Mo1 0.500 0.500 0.281
Mo2 0.500 0.500 0.719

Output
The calculation puts the formation energy (no corrections) at -11 kJ/mol of formula units. The total energy is -8.38 eV per atom. For the density of states at the Fermi level, the calculation gives 0.776 states/eV per atom. Its space-group type is Cmmm (65).